# 1
First-principles (PBE-GGA) data for a relaxed structure of Dy2ScGe2Rh5, as listed in Alexandria.

Cell: 9.869 9.869 3.601 Å, 90.00 90.00 90.00°
Positions (direct):
Dy 0.173 0.327 0.000
Dy 0.327 0.827 0.000
Dy 0.673 0.173 0.000
Dy 0.827 0.673 0.000
Sc 0.000 0.000 0.000
Sc 0.500 0.500 0.000
Ge 0.125 0.625 0.000
Ge 0.375 0.125 0.000
Ge 0.625 0.875 0.000
Ge 0.875 0.375 0.000
Rh 0.000 0.500 0.500
Rh 0.068 0.789 0.500
Rh 0.211 0.068 0.500
Rh 0.289 0.568 0.500
Rh 0.432 0.289 0.500
Rh 0.500 0.000 0.500
Rh 0.568 0.711 0.500
Rh 0.711 0.432 0.500
Rh 0.789 0.932 0.500
Rh 0.932 0.211 0.500

Computed properties:
ΔE_f (eV per atom): -0.87
Total magnetization (Bohr magnetons per cell): 0.0
DFT total energy (eV per atom): -7.026

# 2
First-principles (PBE-GGA) data for a relaxed structure of LiLaAl2, as listed in Alexandria.

Cell: 10.633 10.633 10.633 Å, 17.09 17.09 17.09°
Positions (direct):
Li 0.000 0.000 0.000
La 0.232 0.232 0.232
Al 0.477 0.477 0.477
Al 0.740 0.740 0.740

Computed properties:
Energy above the lowest structure with this stoichiometry (meV per atom): 344
ΔE_f (eV per atom): 0.08
Total magnetization (Bohr magnetons per cell): 0.4
DFT total energy (eV per atom): -3.502

# 3
First-principles (PBE-GGA) data for a relaxed structure of K2PuIO6, as listed in Alexandria.

Cell: 6.574 6.574 6.574 Å, 126.32 126.32 79.36°
Positions (direct):
K 0.250 0.750 0.500
K 0.750 0.250 0.500
Pu 0.000 0.000 0.000
I 0.500 0.500 0.000
O 0.185 0.185 0.000
O 0.252 0.252 0.505
O 0.252 0.748 0.000
O 0.748 0.252 0.000
O 0.748 0.748 0.495
O 0.815 0.815 0.000

Computed properties:
Total magnetization (Bohr magnetons per cell): 1.1
DFT total energy (eV per atom): -6.461
Formation energy without anion corrections (eV per atom): -1.679

# 4
First-principles (PBE-GGA) data for a relaxed structure of LiLaB2, as listed in Alexandria.

Cell: 4.467 4.467 4.467 Å, 60.00 60.00 60.00°
Positions (direct):
Li 0.000 0.000 0.000
La 0.500 0.500 0.500
B 0.250 0.250 0.250
B 0.750 0.750 0.750

Computed properties:
Energy above the lowest structure with this stoichiometry (meV per atom): 233
ΔE_f (eV per atom): 0.60
Total magnetization (Bohr magnetons per cell): 0.0
DFT total energy (eV per atom): -4.451

# 5
First-principles (PBE-GGA) data for a relaxed structure of CdSiAg2Se4, as listed in Alexandria.

Cell: 7.375 7.375 7.375 Å, 132.84 132.84 68.90°
Positions (direct):
Cd 0.000 0.000 0.000
Si 0.500 0.500 0.000
Ag 0.250 0.750 0.500
Ag 0.750 0.250 0.500
Se 0.163 0.163 0.558
Se 0.395 0.837 0.000
Se 0.605 0.605 0.442
Se 0.837 0.395 0.000

Computed properties:
Total magnetization (Bohr magnetons per cell): 0.0
DFT total energy (eV per atom): -3.604
Formation energy without anion corrections (eV per atom): -0.357

# 6
First-principles (PBE-GGA) data for a relaxed structure of Nd6Hg2S, as listed in Alexandria.

Cell: 6.853 7.643 12.733 Å, 90.00 122.35 90.00°
Positions (direct):
Nd 0.117 0.024 0.253
Nd 0.117 0.476 0.753
Nd 0.216 0.699 0.053
Nd 0.216 0.801 0.553
Nd 0.372 0.177 0.050
Nd 0.372 0.323 0.550
Nd 0.628 0.677 0.450
Nd 0.628 0.823 0.950
Nd 0.784 0.199 0.447
Nd 0.784 0.301 0.947
Nd 0.883 0.524 0.247
Nd 0.883 0.976 0.747
Hg 0.321 0.103 0.746
Hg 0.321 0.397 0.246
Hg 0.679 0.603 0.754
Hg 0.679 0.897 0.254
S 0.500 0.000 0.500
S 0.500 0.500 0.000

Computed properties:
Total magnetization (Bohr magnetons per cell): 0.0
DFT total energy (eV per atom): -4.305
Formation energy without anion corrections (eV per atom): -0.601

# 7
First-principles (PBE-GGA) data for a relaxed structure of CdNiGe2Pd, as listed in Alexandria.

Cell: 4.715 4.715 5.139 Å, 90.00 90.00 90.00°
Positions (direct):
Cd 0.000 0.000 0.000
Ni 0.500 0.500 0.000
Ge 0.000 0.500 0.500
Ge 0.500 0.000 0.500
Pd 0.000 0.000 0.500

Computed properties:
ΔE_f (eV per atom): 0.61
Total magnetization (Bohr magnetons per cell): 0.0
DFT total energy (eV per atom): -3.618

# 8
First-principles (PBE-GGA) data for a relaxed structure of CaTaH, as listed in Alexandria.

Cell: 3.523 3.578 8.742 Å, 90.00 90.00 90.00°
Positions (direct):
Ca 0.000 0.000 0.000
Ca 0.500 0.500 0.356
Ta 0.000 0.000 0.618
Ta 0.500 0.500 0.737
H 0.000 0.500 0.175
H 0.500 0.500 0.963

Computed properties:
Energy above the lowest structure with this stoichiometry (meV per atom): 70
Total magnetization (Bohr magnetons per cell): 0.0
DFT total energy (eV per atom): -5.748

# 9
First-principles (PBE-GGA) data for a relaxed structure of Na2ZrP2, as listed in Alexandria.

Cell: 6.722 6.722 4.749 Å, 90.00 90.00 90.00°
Positions (direct):
Na 0.172 0.328 0.000
Na 0.328 0.828 0.000
Na 0.672 0.172 0.000
Na 0.828 0.672 0.000
Zr 0.000 0.000 0.500
Zr 0.500 0.500 0.500
P 0.123 0.623 0.500
P 0.377 0.123 0.500
P 0.623 0.877 0.500
P 0.877 0.377 0.500

Computed properties:
ΔE_f (eV per atom): -0.33
Total magnetization (Bohr magnetons per cell): 1.5
DFT total energy (eV per atom): -4.733

# 10
First-principles (PBE-GGA) data for a relaxed structure of TcAgCl2, as listed in Alexandria.

Cell: 2.979 4.008 6.139 Å, 90.00 96.25 90.00°
Positions (direct):
Tc 0.000 0.000 0.000
Ag 0.500 0.000 0.500
Cl 0.034 0.500 0.232
Cl 0.966 0.500 0.768

Computed properties:
Energy above the lowest structure with this stoichiometry (meV per atom): 315
Total magnetization (Bohr magnetons per cell): 0.2
DFT total energy (eV per atom): -3.935
Formation energy without anion corrections (eV per atom): 0.292

# 11
First-principles (PBE-GGA) data for a relaxed structure of Ca2ReTe, as listed in Alexandria.

Cell: 4.298 6.089 6.089 Å, 42.53 90.00 90.00°
Positions (direct):
Ca 0.000 0.000 0.000
Ca 0.500 0.290 0.290
Re 0.000 0.717 0.717
Te 0.500 0.581 0.581

Computed properties:
Total magnetization (Bohr magnetons per cell): 0.9
DFT total energy (eV per atom): -4.819
Formation energy without anion corrections (eV per atom): 0.079

# 12
First-principles (PBE-GGA) data for a relaxed structure of Tb2CePmN4, as listed in Alexandria.

Cell: 6.124 3.545 6.128 Å, 90.00 109.32 90.00°
Positions (direct):
Tb 0.000 0.000 0.000
Tb 0.000 0.500 0.500
Ce 0.500 0.000 0.500
Pm 0.500 0.500 0.000
N 0.247 0.000 0.742
N 0.249 0.500 0.255
N 0.751 0.500 0.745
N 0.753 0.000 0.258

Computed properties:
Total magnetization (Bohr magnetons per cell): 0.1
DFT total energy (eV per atom): -8.224
Formation energy without anion corrections (eV per atom): -1.569

Calculated volume (Å³/cell)
350.80 90.54 178.33 63.04 211.73 563.43 114.23 110.19 214.57 72.87 107.73 125.53